Record 1
DFT (GGA-PBE) results for a relaxed AcPu2CuP4 crystal.

The value obtained for the electronic total energy is -66.2 eV/f.u. The calculation puts the formation energy from the elements at -0.965 eV/atom. The calculation puts the volume at 358.3 Å³ per cell. For the spin magnetization, the calculation gives 8.3 μB per formula unit. As for the space group: Cmcm. As for the theoretical density: 8365 kg/m³.

extended XYZ file:
```
16
Lattice="-2.2864 3.1143 -1.2096 -1.0472 -0.7397 6.8495 10.0483 8.3226 2.4351" Properties=species:S:1:pos:R:3 pbc="T T T"
P 0.0000 0.0000 0.0000
P 6.7090 9.3086 4.5106
P 5.0241 4.1613 1.2176
P 5.6229 6.9560 7.2811
P 2.7147 3.6324 4.2210
P 1.0918 3.7412 0.7939
P 4.0000 7.0648 3.8540
P 0.0057 1.3886 3.5644
Pu 3.9868 5.2424 5.9615
Pu -1.1411 2.2503 1.1759
Pu 7.8558 8.4469 6.8991
Pu 2.7279 5.4548 2.1135
Cu 1.8379 2.3322 2.5308
Cu 4.8768 8.3650 5.5442
Ac 7.0595 6.4199 3.1854
Ac -0.3448 4.2773 4.8896
```

---

Record 2
DFT (GGA-PBE) results for a relaxed AcCuP2Rh crystal.

The value obtained for the electronic total energy is -30.5 eV/f.u. The calculation puts the formation energy from the elements at -0.822 eV/atom. The calculation puts the volume at 92.3 Å³ per cell. For the spin magnetization, the calculation gives 0.0 μB per formula unit. As for the space group: I-4m2. As for the theoretical density: 8190 kg/m³.

extended XYZ file:
```
5
Lattice="-3.6760 -1.7916 -0.1673 1.1463 -2.6250 2.9234 -0.6032 5.6815 2.4731" Properties=species:S:1:pos:R:3 pbc="T T T"
Ac 0.0000 0.0000 0.0000
P -1.3530 2.5156 2.7893
P -1.7799 -1.2507 2.4399
Rh -0.3609 0.4241 3.3873
Cu -2.7721 0.8408 1.8419
```

---

Record 3
DFT (GGA-PBE) results for a relaxed AcCuPRh6 crystal.

The value obtained for the electronic total energy is -58.2 eV/f.u. The calculation puts the formation energy from the elements at -0.053 eV/atom. The calculation puts the volume at 319.6 Å³ per cell. For the spin magnetization, the calculation gives 0.0 μB per formula unit. As for the space group: Imma. As for the theoretical density: 9757 kg/m³.

extended XYZ file:
```
18
Lattice="5.9767 0.0000 0.0000 0.0000 9.2302 0.0000 -2.9883 -4.6151 5.7934" Properties=species:S:1:pos:R:3 pbc="T T T"
Rh 2.9883 2.3076 0.6562
Rh 0.0000 2.3076 5.1372
Rh 4.5725 4.7988 1.5240
Rh 1.5842 4.7988 4.2694
Rh -1.5842 4.7988 4.2694
Rh 2.9883 -2.3076 4.8978
Rh 0.0000 6.9227 0.8956
Rh 1.5842 -0.1837 4.2694
Rh 4.5725 -0.1837 1.5240
Rh -1.5842 -0.1837 4.2694
Rh 1.4042 4.7988 1.5240
Rh 1.4042 -0.1837 1.5240
P 2.9883 0.0000 0.0000
P 2.9883 4.6151 0.0000
Cu -1.4942 -2.3076 2.8967
Cu 1.4942 -2.3076 2.8967
Ac 0.0000 2.3076 1.9823
Ac 2.9883 2.3076 3.8111
```

---

Record 4
DFT (GGA-PBE) results for a relaxed Ac2CuP3Rh4 crystal.

The value obtained for the electronic total energy is -66.9 eV/f.u. The calculation puts the formation energy from the elements at -0.899 eV/atom. The calculation puts the volume at 180.5 Å³ per cell. For the spin magnetization, the calculation gives 0.0 μB per formula unit. As for the space group: P-4m2. As for the theoretical density: 9403 kg/m³.

extended XYZ file:
```
10
Lattice="-1.3297 3.8408 -1.2506 -4.0249 -1.3710 0.0690 -0.8000 2.8288 9.5381" Properties=species:S:1:pos:R:3 pbc="T T T"
Rh 0.0000 0.0000 0.0000
Rh -2.6773 1.2349 -0.5908
Rh -1.1686 3.7014 5.3801
Rh -2.3087 0.3622 3.5672
Ac -2.6055 1.4117 7.1058
Ac -0.8718 2.6520 1.8415
Cu -3.0773 2.6493 4.1783
P -1.3595 4.3768 7.6572
P -0.4000 1.4144 4.7691
P -2.1177 -0.3131 1.2901
```

---

Record 5
DFT (GGA-PBE) results for a relaxed AcCuPS4 crystal.

The value obtained for the electronic total energy is -35.5 eV/f.u. The calculation puts the volume at 164.5 Å³ per cell. For the spin magnetization, the calculation gives 0.0 μB per formula unit. For the uncorrected formation energy, the calculation gives -0.762 eV per atom. As for the space group: I-4. As for the theoretical density: 4541 kg/m³.

extended XYZ file:
```
7
Lattice="6.6380 0.0000 0.0000 0.0000 6.6380 0.0000 -3.3190 -3.3190 3.7329" Properties=species:S:1:pos:R:3 pbc="T T T"
S -1.1751 -1.5384 2.5213
S 4.8575 2.1439 1.2117
S 1.7806 4.4941 1.2117
S 1.1751 1.5384 2.5213
P 0.0000 3.3190 1.8665
Ac 0.0000 0.0000 0.0000
Cu 3.3190 3.3190 0.0000
```

---

Record 6
DFT (GGA-PBE) results for a relaxed AcCuP2Se8 crystal.

The value obtained for the electronic total energy is -50.3 eV/f.u. The calculation puts the volume at 362.2 Å³ per cell. For the spin magnetization, the calculation gives 0.0 μB per formula unit. For the uncorrected formation energy, the calculation gives -0.285 eV per atom. As for the space group: P-3m1. As for the theoretical density: 4513 kg/m³.

extended XYZ file:
```
12
Lattice="6.6811 0.0000 0.0000 -3.3406 5.7860 0.0000 0.0000 0.0000 9.3684" Properties=species:S:1:pos:R:3 pbc="T T T"
Se 5.1723 0.8712 1.9667
Se 1.5089 0.8712 1.9667
Se -1.8317 4.9149 7.4017
Se 0.0000 1.7423 7.4017
Se 3.3406 1.9287 4.9338
Se 0.0000 3.8574 4.4346
Se 1.8317 4.9149 7.4017
Se 3.3406 4.0437 1.9667
Cu 0.0000 0.0000 0.0000
P 3.3406 1.9287 2.7517
P 0.0000 3.8574 6.6167
Ac 0.0000 0.0000 4.6842
```

---

Record 7
DFT (GGA-PBE) results for a relaxed SrAcCuP crystal.

The value obtained for the electronic total energy is -17.3 eV/f.u. The calculation puts the formation energy from the elements at -0.489 eV/atom. The calculation puts the volume at 105.4 Å³ per cell. For the spin magnetization, the calculation gives 0.0 μB per formula unit. As for the space group: F-43m. As for the theoretical density: 6448 kg/m³.

extended XYZ file:
```
4
Lattice="-0.8862 5.0181 1.4629 -4.7287 1.3977 1.9474 -0.4974 1.2153 5.1364" Properties=species:S:1:pos:R:3 pbc="T T T"
Ac 0.0000 0.0000 0.0000
Sr -3.0561 3.8156 4.2733
Cu -1.5281 1.9078 2.1367
P -4.5842 5.7233 6.4100
```

---

Record 8
DFT (GGA-PBE) results for a relaxed AcCu4TeP2 crystal.

The value obtained for the electronic total energy is -37.9 eV/f.u. The calculation puts the volume at 149.7 Å³ per cell. For the spin magnetization, the calculation gives 0.0 μB per formula unit. For the uncorrected formation energy, the calculation gives -0.432 eV per atom. As for the space group: P4/mmm. As for the theoretical density: 7438 kg/m³.

extended XYZ file:
```
8
Lattice="-2.5421 -2.4031 1.8066 -1.2024 -1.3558 -3.4953 6.7609 -6.8911 0.3471" Properties=species:S:1:pos:R:3 pbc="T T T"
Cu 0.7437 -2.0487 -1.6786
Cu 0.0739 -2.5724 0.9724
Cu 4.8148 -6.1982 -1.4696
Cu 4.1449 -6.7218 1.1814
P 2.6864 -6.5259 -0.6103
P 0.3300 -4.1241 -0.7313
Te 0.0000 0.0000 0.0000
Ac 3.3805 -3.4456 0.1736
```

---

Record 9
DFT (GGA-PBE) results for a relaxed AcTi2CuP4 crystal.

The value obtained for the electronic total energy is -52.6 eV/f.u. The calculation puts the formation energy from the elements at -0.875 eV/atom. The calculation puts the volume at 300.5 Å³ per cell. For the spin magnetization, the calculation gives 0.0 μB per formula unit. As for the space group: Cmcm. As for the theoretical density: 5638 kg/m³.

extended XYZ file:
```
16
Lattice="-2.2361 2.8582 -1.1144 -2.7523 -2.5596 5.4235 6.6047 7.9339 7.0962" Properties=species:S:1:pos:R:3 pbc="T T T"
Ti 0.8450 4.6439 3.7492
Ti 3.2797 6.6018 10.3511
Ti -1.6634 1.6308 1.0542
Ti 0.7714 3.5886 7.6561
P -1.3128 0.2193 3.1964
P 0.9527 5.6390 6.0853
P 0.6637 2.5935 5.3200
P 3.3024 3.9670 3.5481
P 0.0000 0.0000 0.0000
P 0.0848 3.2816 1.7806
P 2.9291 8.0132 8.2088
P 1.5316 4.9509 9.6247
Cu 1.1512 6.5955 8.1400
Cu 0.4651 1.6370 3.2653
Ac -2.3855 2.5600 4.8866
Ac 4.0019 5.6725 6.5187
```

---

Record 10
DFT (GGA-PBE) results for a relaxed AcZr2CuP4 crystal.

The value obtained for the electronic total energy is -55.5 eV/f.u. The calculation puts the formation energy from the elements at -1.076 eV/atom. The calculation puts the volume at 329.6 Å³ per cell. For the spin magnetization, the calculation gives 0.0 μB per formula unit. As for the space group: Cmcm. As for the theoretical density: 6014 kg/m³.

extended XYZ file:
```
16
Lattice="3.8949 0.0000 0.0000 -1.9475 6.4717 0.0000 0.0000 0.0000 13.0765" Properties=species:S:1:pos:R:3 pbc="T T T"
P 0.0000 0.0000 6.5382
P 1.9475 3.0456 8.0212
P 0.0000 5.6947 9.8074
P 1.9475 3.0456 11.5935
P 0.0000 3.4262 1.4830
P 0.0000 3.4262 5.0553
P 0.0000 0.0000 0.0000
P 1.9475 0.7770 3.2691
Zr 0.0000 4.7822 12.3096
Zr 0.0000 4.7822 7.3051
Zr 1.9475 1.6895 0.7669
Zr 1.9475 1.6895 5.7713
Ac 0.0000 1.4717 9.8074
Ac 1.9475 5.0000 3.2691
Cu 1.9475 4.4871 9.8074
Cu 0.0000 1.9847 3.2691
```

---

Record 11
DFT (GGA-PBE) results for a relaxed Ac2PaCu crystal.

The value obtained for the electronic total energy is -19.5 eV/f.u. The calculation puts the formation energy from the elements at 0.589 eV/atom. The calculation puts the volume at 124.8 Å³ per cell. For the spin magnetization, the calculation gives 0.0 μB per formula unit. As for the space group: R-3m. As for the theoretical density: 9959 kg/m³.

extended XYZ file:
```
4
Lattice="3.5450 0.0000 0.0000 1.7725 3.0701 0.0000 1.7725 1.0234 11.4679" Properties=species:S:1:pos:R:3 pbc="T T T"
Ac 1.7725 1.0234 8.0541
Ac 5.3176 3.0701 3.4138
Pa 0.0000 0.0000 0.0000
Cu 3.5450 2.0467 5.7339
```